[1]
An optimized crystal structure of AgGe2Pd, computed with PBE.

Summary:
E_form (eV/atom): -0.055
Total energy (eV for the cell shown): -52.50
Relative energy among the computed polymorphs (meV/atom): 0

Geometry as CIF:
```
data_AgGe2Pd
_chemical_formula_sum 'Ag3 Ge6 Pd3'
_cell_length_a 4.2579
_cell_length_b 4.2579
_cell_length_c 14.1867
_cell_angle_alpha 90.00
_cell_angle_beta 90.00
_cell_angle_gamma 120.00
_space_group_name_H-M_alt 'R 3 m'
_space_group_IT_number 160
_space_group_name_Hall 'R 3 -2"'
loop_
_atom_site_label
_atom_site_fract_x
_atom_site_fract_y
_atom_site_fract_z
Ag1 0.0000 0.0000 0.0000
Ge1 0.0000 0.0000 0.2191
Ge2 0.0000 0.0000 0.4216
Pd1 0.0000 0.0000 0.8033
```

---

[2]
An optimized crystal structure of V2ZnFe, computed with PBE.

Summary:
E_form (eV/atom): 0.358
Total energy (eV for the cell shown): -106.17

Geometry as CIF:
```
data_V2ZnFe
_chemical_formula_sum 'V8 Zn4 Fe4'
_cell_length_a 6.662
_cell_length_b 6.662
_cell_length_c 4.960
_cell_angle_alpha 90.00
_cell_angle_beta 90.00
_cell_angle_gamma 90.00
_space_group_name_H-M_alt 'I -4 2 d'
_space_group_IT_number 122
_space_group_name_Hall 'I -4 2bw'
loop_
_atom_site_label
_atom_site_fract_x
_atom_site_fract_y
_atom_site_fract_z
V1 0.203 0.250 0.125
Zn1 0.000 0.000 0.500
Fe1 0.000 0.000 0.000
```

---

[3]
An optimized crystal structure of CeSc5Bi3, computed with PBE.

Summary:
E_form (eV/atom): -0.450
Total energy (eV for the cell shown): -106.56

Geometry as CIF:
```
data_CeSc5Bi3
_chemical_formula_sum 'Ce2 Sc10 Bi6'
_cell_length_a 9.0340
_cell_length_b 9.0340
_cell_length_c 6.2607
_cell_angle_alpha 90.00
_cell_angle_beta 90.00
_cell_angle_gamma 120.00
_space_group_name_H-M_alt 'P 63/m c m'
_space_group_IT_number 193
_space_group_name_Hall '-P 6c 2'
loop_
_atom_site_label
_atom_site_fract_x
_atom_site_fract_y
_atom_site_fract_z
Ce1 0.0000 0.0000 0.0000
Sc1 0.0000 0.3294 0.2500
Sc2 0.3333 0.6667 0.0000
Bi1 0.0000 0.3416 0.7500
```

---

[4]
An optimized crystal structure of PmPr3Sm3Te8, computed with PBE.

Summary:
Total energy (eV for the cell shown): -240.54
Energy relative to the elements, uncorrected (meV/atom): -1453

Geometry as CIF:
```
data_PmPr3Sm3Te8
_chemical_formula_sum 'Pm3 Pr9 Sm9 Te24'
_cell_length_a 8.9290
_cell_length_b 8.9290
_cell_length_c 21.9529
_cell_angle_alpha 90.00
_cell_angle_beta 90.00
_cell_angle_gamma 120.00
_space_group_name_H-M_alt 'R -3 m'
_space_group_IT_number 166
_space_group_name_Hall '-R 3 2"'
loop_
_atom_site_label
_atom_site_fract_x
_atom_site_fract_y
_atom_site_fract_z
Pm1 0.0000 0.0000 0.0000
Pr1 0.0000 0.5000 0.5000
Sm1 0.0000 0.5000 0.0000
Te1 0.0000 0.0000 0.2522
Te2 0.0093 0.5047 0.2499
```

---

total energy of number 4 (PmPr3Sm3Te8)? -240.54 eV for the cell shown